# 1
DFT (PBE) results for a relaxed SmHoEr crystal.

## Properties
E_form: 0.010 eV/atom
Calculated volume: 31.82 Å³/atom
Space-group type: P1
Offset from the most stable computed form: 0 meV/atom
Raw total energy: -13.83 eV per cell

Cell lengths 3.582, 3.585, 8.820 Å; angles 101.62, 90.01, 119.94 degrees
Positions (direct):
Sm1 0.000 0.000 0.000
Ho1 0.558 0.108 0.664
Er1 0.781 0.558 0.338

# 2
DFT (PBE) results for a relaxed Hf3ScN4 crystal.

## Properties
Calculated volume: 11.59 Å³/atom
Formation energy without anion corrections: -1852 meV/atom
Space-group type: Pm-3m
Raw total energy: -84.31 eV per cell

Cell lengths 4.526, 4.526, 4.526 Å; angles 90.00, 90.00, 90.00 degrees
Positions (direct):
Hf1 0.000 0.000 0.500
Hf2 0.000 0.500 0.000
Hf3 0.500 0.000 0.000
Sc1 0.500 0.500 0.500
N1 0.000 0.000 0.000
N2 0.000 0.500 0.500
N3 0.500 0.000 0.500
N4 0.500 0.500 0.000

# 3
DFT (PBE) results for a relaxed ErThMgRe crystal.

## Properties
E_form: 0.079 eV/atom
Calculated volume: 23.42 Å³/atom
Space-group type: F-43m
Raw total energy: -25.71 eV per cell

Cell lengths 5.098, 5.098, 5.098 Å; angles 60.00, 60.00, 60.00 degrees
Positions (direct):
Er1 0.000 0.000 0.000
Th1 0.500 0.500 0.500
Mg1 0.750 0.750 0.750
Re1 0.250 0.250 0.250

# 4
DFT (PBE) results for a relaxed TlHO crystal.

## Properties
Calculated volume: 20.33 Å³/atom
Space-group type: P1
Offset from the most stable computed form: 9 meV/atom
Raw total energy: -105.29 eV per cell

Cell lengths 3.842, 5.408, 23.487 Å; angles 88.99, 89.70, 89.94 degrees
Positions (direct):
Tl1 0.000 0.000 0.000
Tl2 0.000 0.037 0.745
Tl3 0.469 0.513 0.379
Tl4 0.470 0.495 0.627
Tl5 0.495 0.492 0.127
Tl6 0.500 0.511 0.879
Tl7 0.969 0.003 0.500
Tl8 0.976 0.038 0.244
H1 0.468 0.407 0.507
H2 0.475 0.058 0.326
H3 0.497 0.057 0.826
H4 0.500 0.404 0.007
H5 0.970 0.903 0.619
H6 0.971 0.900 0.364
H7 0.994 0.900 0.119
H8 0.999 0.898 0.864
O1 0.001 0.769 0.835
O2 0.468 0.274 0.535
O3 0.474 0.210 0.302
O4 0.499 0.208 0.803
O5 0.499 0.271 0.036
O6 0.970 0.771 0.335
O7 0.970 0.775 0.591
O8 0.996 0.771 0.091

# 5
DFT (PBE) results for a relaxed Np4As6Ru7 crystal.

## Properties
E_form: -0.479 eV/atom
Calculated volume: 17.11 Å³/atom
Space-group type: Im-3m
Raw total energy: -152.73 eV per cell

Cell lengths 7.230, 7.230, 7.230 Å; angles 109.47, 109.47, 109.47 degrees
Positions (direct):
Np1 0.000 0.000 0.500
Np2 0.000 0.500 0.000
Np3 0.500 0.000 0.000
Np4 0.500 0.500 0.500
As1 0.000 0.310 0.310
As2 0.000 0.690 0.690
As3 0.310 0.000 0.310
As4 0.310 0.310 0.000
As5 0.690 0.000 0.690
As6 0.690 0.690 0.000
Ru1 0.000 0.000 0.000
Ru2 0.250 0.500 0.750
Ru3 0.250 0.750 0.500
Ru4 0.500 0.250 0.750
Ru5 0.500 0.750 0.250
Ru6 0.750 0.250 0.500
Ru7 0.750 0.500 0.250

# 6
DFT (PBE) results for a relaxed LaTmTh2 crystal.

## Properties
E_form: 0.045 eV/atom
Calculated volume: 32.53 Å³/atom
Space-group type: R3m
Offset from the most stable computed form: 17 meV/atom
Raw total energy: -24.06 eV per cell

Cell lengths 11.948, 11.948, 11.948 Å; angles 17.20, 17.20, 17.20 degrees
Positions (direct):
La1 0.000 0.000 0.000
Tm1 0.830 0.830 0.830
Th1 0.246 0.246 0.246
Th2 0.417 0.417 0.417

# 7
DFT (PBE) results for a relaxed Na3Tl3CuO8 crystal.

## Properties
Calculated volume: 14.16 Å³/atom
Formation energy without anion corrections: -867 meV/atom
Space-group type: C2/m
Raw total energy: -67.82 eV per cell

Cell lengths 6.630, 6.630, 6.772 Å; angles 119.62, 119.62, 60.42 degrees
Positions (direct):
Na1 0.000 0.000 0.000
Na2 0.000 0.500 0.000
Na3 0.500 0.000 0.000
Tl1 0.000 0.500 0.500
Tl2 0.500 0.000 0.500
Tl3 0.500 0.500 0.500
Cu1 0.000 0.000 0.500
O1 0.205 0.205 0.697
O2 0.215 0.771 0.702
O3 0.229 0.785 0.298
O4 0.257 0.257 0.273
O5 0.743 0.743 0.727
O6 0.771 0.215 0.702
O7 0.785 0.229 0.298
O8 0.795 0.795 0.303

# 8
DFT (PBE) results for a relaxed TbIr2Rh crystal.

## Properties
E_form: 0.173 eV/atom
Calculated volume: 21.14 Å³/atom
Space-group type: Pmma
Offset from the most stable computed form: 597 meV/atom
Raw total energy: -116.05 eV per cell

Cell lengths 5.253, 6.844, 9.408 Å; angles 90.00, 90.00, 90.00 degrees
Positions (direct):
Tb1 0.250 0.000 0.118
Tb2 0.250 0.500 0.279
Tb3 0.750 0.000 0.882
Tb4 0.750 0.500 0.721
Ir1 0.000 0.000 0.500
Ir2 0.000 0.500 0.000
Ir3 0.250 0.310 0.543
Ir4 0.250 0.690 0.543
Ir5 0.500 0.000 0.500
Ir6 0.500 0.500 0.000
Ir7 0.750 0.310 0.457
Ir8 0.750 0.690 0.457
Rh1 0.250 0.000 0.769
Rh2 0.250 0.500 0.770
Rh3 0.750 0.000 0.231
Rh4 0.750 0.500 0.230

# 9
DFT (PBE) results for a relaxed LiCa2AlCd6 crystal.

## Properties
E_form: -0.052 eV/atom
Calculated volume: 25.67 Å³/atom
Space-group type: C2/m
Raw total energy: -15.67 eV per cell

Cell lengths 7.125, 7.125, 6.912 Å; angles 118.72, 118.72, 90.36 degrees
Positions (direct):
Li1 0.000 0.000 0.000
Ca1 0.298 0.702 0.500
Ca2 0.702 0.298 0.500
Al1 0.500 0.500 0.000
Cd1 0.197 0.197 0.909
Cd2 0.213 0.213 0.483
Cd3 0.240 0.760 0.000
Cd4 0.760 0.240 0.000
Cd5 0.787 0.787 0.517
Cd6 0.803 0.803 0.091

# 10
DFT (PBE) results for a relaxed SmPaTlSn crystal.

## Properties
E_form: -0.122 eV/atom
Calculated volume: 27.77 Å³/atom
Space-group type: F-43m
Raw total energy: -21.07 eV per cell

Cell lengths 5.396, 5.396, 5.396 Å; angles 60.00, 60.00, 60.00 degrees
Positions (direct):
Sm1 0.000 0.000 0.000
Pa1 0.500 0.500 0.500
Tl1 0.250 0.250 0.250
Sn1 0.750 0.750 0.750

# 11
DFT (PBE) results for a relaxed Sr2NiTe2 crystal.

## Properties
Calculated volume: 34.25 Å³/atom
Formation energy without anion corrections: -221 meV/atom
Space-group type: I4/mmm
Offset from the most stable computed form: 311 meV/atom
Raw total energy: -16.53 eV per cell

Cell lengths 9.337, 9.337, 9.337 Å; angles 152.68, 152.68, 39.03 degrees
Positions (direct):
Sr1 0.102 0.102 0.000
Sr2 0.898 0.898 0.000
Ni1 0.500 0.500 0.000
Te1 0.250 0.750 0.500
Te2 0.750 0.250 0.500

# 12
DFT (PBE) results for a relaxed AcLa6Cd crystal.

## Properties
E_form: -0.006 eV/atom
Calculated volume: 35.88 Å³/atom
Space-group type: P-1
Offset from the most stable computed form: 45 meV/atom
Raw total energy: -34.63 eV per cell

Cell lengths 6.661, 6.662, 6.671 Å; angles 97.68, 97.77, 97.88 degrees
Positions (direct):
Ac1 0.000 0.000 0.000
La1 0.038 0.557 0.273
La2 0.272 0.038 0.558
La3 0.443 0.728 0.961
La4 0.557 0.272 0.039
La5 0.728 0.962 0.442
La6 0.962 0.443 0.727
Cd1 0.500 0.500 0.500

# 13
DFT (PBE) results for a relaxed Li4Hg7Au crystal.

## Properties
E_form: -0.191 eV/atom
Calculated volume: 21.92 Å³/atom
Space-group type: C2/m
Raw total energy: -15.34 eV per cell

Cell lengths 7.672, 7.672, 8.360 Å; angles 121.96, 121.96, 40.34 degrees
Positions (direct):
Li1 0.069 0.069 0.405
Li2 0.236 0.236 0.236
Li3 0.764 0.764 0.764
Li4 0.931 0.931 0.595
Hg1 0.000 0.000 0.000
Hg2 0.194 0.194 0.845
Hg3 0.302 0.302 0.616
Hg4 0.446 0.446 0.285
Hg5 0.554 0.554 0.715
Hg6 0.698 0.698 0.384
Hg7 0.806 0.806 0.155
Au1 0.500 0.500 0.000

# 14
DFT (PBE) results for a relaxed Tm2Th2Mg crystal.

## Properties
E_form: 0.548 eV/atom
Calculated volume: 33.78 Å³/atom
Space-group type: I4/mmm
Offset from the most stable computed form: 566 meV/atom
Raw total energy: -22.64 eV per cell

Cell lengths 8.717, 8.717, 8.717 Å; angles 149.62, 149.62, 43.49 degrees
Positions (direct):
Tm1 0.096 0.096 0.000
Tm2 0.904 0.904 0.000
Th1 0.250 0.750 0.500
Th2 0.750 0.250 0.500
Mg1 0.500 0.500 0.000

# 15
DFT (PBE) results for a relaxed EuY2Sb crystal.

## Properties
Calculated volume: 36.04 Å³/atom
Formation energy without anion corrections: -375 meV/atom
Space-group type: R-3m
Offset from the most stable computed form: 78 meV/atom
Raw total energy: -28.83 eV per cell

Cell lengths 10.267, 10.267, 10.267 Å; angles 22.93, 22.93, 22.93 degrees
Positions (direct):
Eu1 0.000 0.000 0.000
Y1 0.230 0.230 0.230
Y2 0.770 0.770 0.770
Sb1 0.500 0.500 0.500

# 16
DFT (PBE) results for a relaxed TbPm8Tm2 crystal.

## Properties
E_form: 0.210 eV/atom
Calculated volume: 34.27 Å³/atom
Space-group type: C2/m
Offset from the most stable computed form: 38 meV/atom
Raw total energy: -49.27 eV per cell

Cell lengths 7.915, 7.915, 8.608 Å; angles 112.50, 112.50, 50.50 degrees
Positions (direct):
Tb1 0.000 0.000 0.000
Pm1 0.164 0.648 0.614
Pm2 0.259 0.259 0.221
Pm3 0.352 0.836 0.386
Pm4 0.391 0.391 0.005
Pm5 0.609 0.609 0.995
Pm6 0.648 0.164 0.614
Pm7 0.741 0.741 0.779
Pm8 0.836 0.352 0.386
Tm1 0.142 0.142 0.759
Tm2 0.858 0.858 0.241

# 17
DFT (PBE) results for a relaxed PmMg2Ge2 crystal.

## Properties
E_form: -0.503 eV/atom
Calculated volume: 21.83 Å³/atom
Space-group type: C2/m
Raw total energy: -19.69 eV per cell

Cell lengths 4.287, 4.287, 6.665 Å; angles 108.71, 108.71, 89.95 degrees
Positions (direct):
Pm1 0.000 0.000 0.000
Mg1 0.250 0.750 0.500
Mg2 0.750 0.250 0.500
Ge1 0.393 0.393 0.788
Ge2 0.607 0.607 0.212

# 18
DFT (PBE) results for a relaxed CeHoI2 crystal.

## Properties
Calculated volume: 35.21 Å³/atom
Formation energy without anion corrections: -649 meV/atom
Space-group type: R-3m
Raw total energy: -16.21 eV per cell

Cell lengths 10.985, 10.985, 10.985 Å; angles 20.39, 20.39, 20.39 degrees
Positions (direct):
Ce1 0.000 0.000 0.000
Ho1 0.500 0.500 0.500
I1 0.405 0.405 0.405
I2 0.595 0.595 0.595

# 19
DFT (PBE) results for a relaxed Sm3YN4 crystal.

## Properties
Calculated volume: 15.99 Å³/atom
Formation energy without anion corrections: -1524 meV/atom
Space-group type: Pm-3m
Offset from the most stable computed form: 3 meV/atom
Raw total energy: -66.11 eV per cell

Cell lengths 5.039, 5.039, 5.039 Å; angles 90.00, 90.00, 90.00 degrees
Positions (direct):
Sm1 0.000 0.000 0.500
Sm2 0.000 0.500 0.000
Sm3 0.500 0.000 0.000
Y1 0.500 0.500 0.500
N1 0.000 0.000 0.000
N2 0.000 0.500 0.500
N3 0.500 0.000 0.500
N4 0.500 0.500 0.000

# 20
DFT (PBE) results for a relaxed GaPd2W crystal.

## Properties
E_form: 0.272 eV/atom
Calculated volume: 16.50 Å³/atom
Space-group type: I-42d
Raw total energy: -50.56 eV per cell

Cell lengths 9.435, 9.435, 9.435 Å; angles 156.64, 156.64, 33.28 degrees
Positions (direct):
Ga1 0.000 0.000 0.000
Ga2 0.750 0.250 0.500
Pd1 0.121 0.625 0.996
Pd2 0.375 0.371 0.496
Pd3 0.629 0.125 0.004
Pd4 0.875 0.879 0.504
W1 0.250 0.750 0.500
W2 0.500 0.500 0.000